No. 1
Density functional theory data (PBE) for a relaxed structure of TlCr.

Summary:
- density of states at the Fermi level (states/eV/atom) = 1.405
- crystal system = cubic
- raw total energy (eV per cell) = -78.7

The structure in extended XYZ format:
```
16
Lattice="8.1509 0.0000 0.0000 0.0000 8.1509 0.0000 0.0000 0.0000 8.1509" Properties=species:S:1:pos:R:3 pbc="T T T"
Tl 1.7527 1.7527 6.3982
Tl 1.7527 6.3982 1.7527
Tl 2.3227 2.3227 2.3227
Tl 2.3227 5.8282 5.8282
Tl 5.8282 2.3227 5.8282
Tl 5.8282 5.8282 2.3227
Tl 6.3982 1.7527 1.7527
Tl 6.3982 6.3982 6.3982
Cr 0.7753 0.7753 0.7753
Cr 0.7753 7.3756 7.3756
Cr 3.3002 3.3002 4.8507
Cr 3.3002 4.8507 3.3002
Cr 4.8507 3.3002 3.3002
Cr 4.8507 4.8507 4.8507
Cr 7.3756 0.7753 7.3756
Cr 7.3756 7.3756 0.7753
```



No. 2
Density functional theory data (PBE) for a relaxed structure of Tl7Cr.

Summary:
- density of states at the Fermi level (states/eV/atom) = 0.645
- crystal system = cubic
- raw total energy (eV per cell) = -24.1

The structure in extended XYZ format:
```
8
Lattice="0.0000 4.8379 4.8379 4.8379 0.0000 4.8379 4.8379 4.8379 0.0000" Properties=species:S:1:pos:R:3 pbc="T T T"
Tl 0.0000 0.0000 0.0000
Tl 2.4189 2.4189 0.0000
Tl 2.4189 0.0000 2.4189
Tl 4.8379 2.4189 2.4189
Tl 0.0000 2.4189 2.4189
Tl 2.4189 4.8379 2.4189
Tl 2.4189 2.4189 4.8379
Cr 4.8379 4.8379 4.8379
```



No. 3
Density functional theory data (PBE) for a relaxed structure of Tl3Cr.

Summary:
- density of states at the Fermi level (states/eV/atom) = 0.591
- crystal system = orthorhombic
- raw total energy (eV per cell) = -60.7

The structure in extended XYZ format:
```
16
Lattice="7.8607 0.0000 0.0000 0.0000 8.8046 0.0000 0.0000 0.0000 6.0834" Properties=species:S:1:pos:R:3 pbc="T T T"
Tl 0.1744 2.2012 0.6371
Tl 1.4385 0.4954 3.8160
Tl 1.4385 3.9069 3.8160
Tl 2.4918 4.8977 0.7743
Tl 2.4918 8.3092 0.7743
Tl 3.7559 6.6035 3.6788
Tl 4.1048 2.2012 2.4045
Tl 5.3689 0.4954 5.3090
Tl 5.3689 3.9069 5.3090
Tl 6.4221 4.8977 2.2674
Tl 6.4221 8.3092 2.2674
Tl 7.6862 6.6035 5.4462
Cr 0.9697 6.6035 2.6722
Cr 2.9607 2.2012 5.7139
Cr 4.9000 6.6035 0.3694
Cr 6.8910 2.2012 3.4111
```



No. 4
Density functional theory data (PBE) for a relaxed structure of TlCr.

Summary:
- density of states at the Fermi level (states/eV/atom) = 0.645
- crystal system = trigonal
- raw total energy (eV per cell) = -31.6

The structure in extended XYZ format:
```
6
Lattice="3.3145 0.0000 0.0000 -1.6572 2.8704 0.0000 0.0000 0.0000 13.3352" Properties=species:S:1:pos:R:3 pbc="T T T"
Tl 0.0000 0.0000 0.0000
Tl 0.0000 1.9136 8.8901
Tl 1.6572 0.9568 4.4451
Cr 0.0000 0.0000 6.6676
Cr 0.0000 1.9136 2.2225
Cr 1.6572 0.9568 11.1126
```



No. 5
Density functional theory data (PBE) for a relaxed structure of TlCr.

Summary:
- density of states at the Fermi level (states/eV/atom) = 0.720
- crystal system = orthorhombic
- raw total energy (eV per cell) = -65.4

The structure in extended XYZ format:
```
12
Lattice="3.1250 0.0000 0.0000 0.0000 9.1047 0.0000 0.0000 0.0000 8.7463" Properties=species:S:1:pos:R:3 pbc="T T T"
Tl 0.7813 0.6968 1.7626
Tl 0.7813 2.2762 7.6426
Tl 0.7813 3.8555 1.7626
Tl 2.3438 5.2492 6.9837
Tl 2.3438 6.8285 1.1037
Tl 2.3438 8.4079 6.9837
Cr 0.7813 0.8876 5.0357
Cr 0.7813 3.6648 5.0357
Cr 0.7813 6.8285 4.8640
Cr 2.3438 2.2762 3.8823
Cr 2.3438 5.4400 3.7106
Cr 2.3438 8.2171 3.7106
```



No. 6
Density functional theory data (PBE) for a relaxed structure of TlCr.

Summary:
- density of states at the Fermi level (states/eV/atom) = 0.490
- crystal system = orthorhombic
- raw total energy (eV per cell) = -21.0

The structure in extended XYZ format:
```
4
Lattice="3.2859 0.0000 0.0000 0.0000 5.4168 0.0000 0.0000 0.0000 4.8769" Properties=species:S:1:pos:R:3 pbc="T T T"
Tl 0.8215 1.3542 0.5473
Tl 2.4644 4.0626 4.3296
Cr 0.8215 4.0626 1.9261
Cr 2.4644 1.3542 2.9509
```



No. 7
Density functional theory data (PBE) for a relaxed structure of TlCr4.

Summary:
- density of states at the Fermi level (states/eV/atom) = 0.726
- crystal system = cubic
- raw total energy (eV per cell) = -65.2

The structure in extended XYZ format:
```
10
Lattice="6.3627 0.0000 0.0000 0.0000 6.3627 0.0000 0.0000 0.0000 6.3627" Properties=species:S:1:pos:R:3 pbc="T T T"
Tl 0.0000 0.0000 0.0000
Tl 3.1813 3.1813 3.1813
Cr 1.5907 1.5907 1.5907
Cr 1.5907 1.5907 4.7720
Cr 1.5907 4.7720 1.5907
Cr 1.5907 4.7720 4.7720
Cr 4.7720 1.5907 1.5907
Cr 4.7720 1.5907 4.7720
Cr 4.7720 4.7720 1.5907
Cr 4.7720 4.7720 4.7720
```



No. 8
Density functional theory data (PBE) for a relaxed structure of TlCr3.

Summary:
- density of states at the Fermi level (states/eV/atom) = 0.724
- crystal system = orthorhombic
- raw total energy (eV per cell) = -29.2

The structure in extended XYZ format:
```
4
Lattice="3.0087 0.0000 0.0000 0.0000 3.4457 0.0000 0.0000 0.0000 5.7916" Properties=species:S:1:pos:R:3 pbc="T T T"
Tl 0.0000 0.0000 0.0000
Cr 0.0000 0.0000 2.8958
Cr 1.5043 1.7229 1.8784
Cr 1.5043 1.7229 3.9132
```